(1)
VASP calculation (SCAN) on a crystal of Ca3V2Bi2O12 relaxed with PBEsol.

## Properties
total magnetic moment: 0.00 Bohr magnetons per cell
formation energy (no corrections): -4291 kJ/mol of formula units

The structure in CIF format:
```
data_Ca3V2Bi2O12
_chemical_formula_sum 'Ca3 V2 Bi2 O12'
_cell_length_a 5.4499
_cell_length_b 7.1866
_cell_length_c 7.4079
_cell_angle_alpha 76.94
_cell_angle_beta 86.04
_cell_angle_gamma 89.73
_symmetry_space_group_name_H-M 'P 1'
_symmetry_Int_Tables_number 1
_symmetry_space_group_name_Hall 'P 1'
loop_
_atom_site_label
_atom_site_type_symbol
_atom_site_fract_x
_atom_site_fract_y
_atom_site_fract_z
Ca1 Ca 0.0000 0.0000 0.0000
Ca2 Ca 0.0219 0.3624 0.6117
Ca3 Ca 0.5079 0.7988 0.7699
V1 V 0.4530 0.2668 0.8923
V2 V 0.9897 0.8621 0.5061
Bi1 Bi 0.0368 0.4902 0.1117
Bi2 Bi 0.5225 0.6860 0.2733
O1 O 0.2667 0.7564 0.0596
O2 O 0.2707 0.4618 0.3501
O3 O 0.2913 0.1918 0.1009
O4 O 0.3152 0.8295 0.4731
O5 O 0.3312 0.4873 0.8013
O6 O 0.3456 0.1138 0.7685
O7 O 0.7519 0.7313 0.0216
O8 O 0.7711 0.2667 0.8996
O9 O 0.7811 0.4766 0.3601
O10 O 0.8200 0.9028 0.3092
O11 O 0.8632 0.6632 0.6428
O12 O 0.9180 0.0273 0.6301
```


(2)
VASP calculation (SCAN) on a crystal of CaVBiO5 relaxed with PBEsol.

## Properties
total magnetic moment: 0.00 Bohr magnetons per cell
formation energy (no corrections): -1893 kJ/mol of formula units
polymorph energy (0 for the lowest one): 0.028 eV per atom

The structure in CIF format:
```
data_CaVBiO5
_chemical_formula_sum 'Ca4 V4 Bi4 O20'
_cell_length_a 5.7229
_cell_length_b 11.6754
_cell_length_c 8.1507
_cell_angle_alpha 90.00
_cell_angle_beta 109.77
_cell_angle_gamma 90.00
_symmetry_space_group_name_H-M 'P 1 21/c 1'
_symmetry_Int_Tables_number 14
_symmetry_space_group_name_Hall '-P 2ybc'
loop_
_atom_site_label
_atom_site_type_symbol
_atom_site_fract_x
_atom_site_fract_y
_atom_site_fract_z
Ca1 Ca 0.0461 0.0877 0.1880
V1 V 0.3319 0.6446 0.0267
Bi1 Bi 0.4635 0.0953 0.8330
O1 O 0.1886 0.7245 0.5031
O2 O 0.2506 0.5581 0.1736
O3 O 0.2660 0.5758 0.8292
O4 O 0.2711 0.0257 0.0131
O5 O 0.3643 0.1800 0.3949
```


(3)
VASP calculation (SCAN) on a crystal of CaBiPOs2 relaxed with PBEsol.

## Properties
total magnetic moment: 0.69 Bohr magnetons per cell
energy: -46.609 eV per atom

The structure in CIF format:
```
data_CaBiPOs2
_chemical_formula_sum 'Ca1 Bi1 P1 Os2'
_cell_length_a 4.9678
_cell_length_b 4.9678
_cell_length_c 5.1874
_cell_angle_alpha 90.00
_cell_angle_beta 90.00
_cell_angle_gamma 90.00
_symmetry_space_group_name_H-M 'P 4/m m m'
_symmetry_Int_Tables_number 123
_symmetry_space_group_name_Hall '-P 4 2'
loop_
_atom_site_label
_atom_site_type_symbol
_atom_site_fract_x
_atom_site_fract_y
_atom_site_fract_z
Ca1 Ca 0.0000 0.0000 0.0000
Bi1 Bi 0.5000 0.5000 0.5000
P1 P 0.5000 0.5000 0.0000
Os1 Os 0.0000 0.5000 0.5000
```


Repeat the second record exactly.
VASP calculation (SCAN) on a crystal of CaVBiO5 relaxed with PBEsol.

## Properties
total magnetic moment: 0.00 Bohr magnetons per cell
formation energy (no corrections): -1893 kJ/mol of formula units
polymorph energy (0 for the lowest one): 0.028 eV per atom

The structure in CIF format:
```
data_CaVBiO5
_chemical_formula_sum 'Ca4 V4 Bi4 O20'
_cell_length_a 5.7229
_cell_length_b 11.6754
_cell_length_c 8.1507
_cell_angle_alpha 90.00
_cell_angle_beta 109.77
_cell_angle_gamma 90.00
_symmetry_space_group_name_H-M 'P 1 21/c 1'
_symmetry_Int_Tables_number 14
_symmetry_space_group_name_Hall '-P 2ybc'
loop_
_atom_site_label
_atom_site_type_symbol
_atom_site_fract_x
_atom_site_fract_y
_atom_site_fract_z
Ca1 Ca 0.0461 0.0877 0.1880
V1 V 0.3319 0.6446 0.0267
Bi1 Bi 0.4635 0.0953 0.8330
O1 O 0.1886 0.7245 0.5031
O2 O 0.2506 0.5581 0.1736
O3 O 0.2660 0.5758 0.8292
O4 O 0.2711 0.0257 0.0131
O5 O 0.3643 0.1800 0.3949
```


- What is the formula in the second record?
  CaVBiO5